Record 1
ZnCd2SbW | the Alexandria database | GGA-PBE | relaxed; size of the total moment = 4.20 μB/cell; uncorrected formation energy = 155.0 kJ/mol of atoms; crystal system = tetragonal; symmetry = No. 123; E_tot = -2.43 eV/atom; calculated volume = 155 Å³/f.u.
1.0
-0.466 -5.460 -1.061
4.922 -0.518 0.502
-0.661 -1.002 5.450
Cd Sb Zn W
2 1 1 1
Direct
0.000 0.000 0.500
0.500 0.000 0.000
0.000 0.000 0.000
0.000 0.500 0.000
0.500 0.500 0.500



Record 2
BaAsPbO6 | the Alexandria database | GGA-PBE | relaxed; size of the total moment = 1.07 μB/cell; uncorrected formation energy = -132.4 kJ/mol of atoms; crystal system = trigonal; symmetry = No. 149; E_tot = -5.82 eV/atom; calculated volume = 148 Å³/f.u.
1.0
-0.513 -3.082 4.448
3.451 -4.108 0.873
3.511 3.559 2.872
Pb As O Ba
1 1 6 1
Direct
0.667 0.667 0.500
0.333 0.333 0.500
0.596 0.359 0.693
0.045 0.359 0.307
0.596 0.045 0.307
0.359 0.596 0.307
0.045 0.596 0.693
0.359 0.045 0.693
0.000 0.000 0.000



What is the formula in the first record? ZnCd2SbW



Which formula does entry 2 have? BaAsPbO6



Among the records above, which one has the highest calculated volume? ZnCd2SbW



E_tot of number 2 (BaAsPbO6)? -5.82 eV/atom